Below is a geometry-optimized La2Pr2NdEr structure, with properties calculated at the GGA-PBE level.

Cell lengths 5.8362, 7.1810, 10.1224 Å; angles 90.00, 90.00, 90.00 degrees
With the nearest neighbours (Å) after each atom.
Positions (direct):
1 Pr 0.0000 0.7574 0.8271  5 La 3.32-3.59
2 Pr 0.5000 0.5075 0.9999  6 Pr 3.59-3.85, 6 La 3.79-3.80, 2 Er 3.85
3 Pr 0.5000 0.0075 0.0001  6 Pr 3.59-3.85, 6 La 3.79-3.80, 2 Er 3.85
4 Pr 0.0000 0.2574 0.1729  5 La 3.32-3.59
5 La 0.0000 0.2575 0.8376  7 Pr 3.39-3.80, 2 Er 3.41
6 La 0.5000 0.2577 0.3302  2 Pr 3.32, 3 Er 3.37-3.59
7 La 0.0000 0.7575 0.1624  7 Pr 3.39-3.80, 2 Er 3.41
8 La 0.5000 0.7577 0.6698  2 Pr 3.32, 3 Er 3.37-3.59
9 Er 0.5000 0.7578 0.3366  5 La 3.37-3.59
10 Er 0.5000 0.2578 0.6634  5 La 3.37-3.59
11 Nd 0.0000 0.5077 0.4998  2 Nd 3.59, 2 Pr 3.77, 4 Er 3.80, 6 La 3.83-3.86
12 Nd 0.0000 0.0077 0.5002  2 Nd 3.59, 2 Pr 3.77, 4 Er 3.80, 6 La 3.83-3.86

E_form: 60 meV/atom
Total energy: -4.7311 eV/atom